No. 1
{
  "formula": "CdFe2Re",
  "functional": "PBE",
  "state": "optimized geometry",
  "cell": [[3.127, 0.000, 0.000], [0.000, 4.329, 0.000], [0.000, 0.000, 8.673]],
  "species": ["Cd", "Cd", "Fe", "Fe", "Fe", "Fe", "Re", "Re"],
  "fractional_positions": [[0.000, 0.000, 0.000], [0.500, 0.500, 0.000], [0.000, 0.500, 0.267], [0.000, 0.500, 0.733], [0.500, 0.000, 0.267], [0.500, 0.000, 0.733], [0.000, 0.000, 0.500], [0.500, 0.500, 0.500]],
  "density_g_cm3": 11.60,
  "spacegroup": "Cmmm (65)",
  "energy_ev_per_atom": -7.285,
  "n_ef_per_ev_fu": 2.77
}

No. 2
{
  "formula": "MgZnTe2",
  "functional": "PBE",
  "state": "optimized geometry",
  "cell": [[5.879, 0.000, 0.000], [0.000, 5.879, 0.000], [0.000, 0.000, 11.788]],
  "species": ["Mg", "Mg", "Mg", "Mg", "Zn", "Zn", "Zn", "Zn", "Te", "Te", "Te", "Te", "Te", "Te", "Te", "Te"],
  "fractional_positions": [[0.000, 0.250, 0.375], [0.000, 0.750, 0.625], [0.500, 0.250, 0.125], [0.500, 0.750, 0.875], [0.000, 0.250, 0.875], [0.000, 0.750, 0.125], [0.500, 0.250, 0.625], [0.500, 0.750, 0.375], [0.000, 0.250, 0.119], [0.000, 0.250, 0.631], [0.000, 0.750, 0.369], [0.000, 0.750, 0.881], [0.500, 0.250, 0.381], [0.500, 0.250, 0.869], [0.500, 0.750, 0.131], [0.500, 0.750, 0.619]],
  "density_g_cm3": 5.62,
  "e_form_raw_ev_per_atom": -0.464,
  "spacegroup": "I4_1/amd (141)",
  "energy_ev_per_atom": -2.752,
  "n_ef_per_ev_fu": 1.40
}

No. 3
{
  "formula": "YCoAu2",
  "functional": "PBE",
  "state": "optimized geometry",
  "cell": [[3.969, 0.000, 0.000], [0.000, 3.969, 0.000], [0.000, 0.000, 19.902]],
  "species": ["Y", "Y", "Y", "Y", "Co", "Co", "Co", "Co", "Au", "Au", "Au", "Au", "Au", "Au", "Au", "Au"],
  "fractional_positions": [[0.000, 0.000, 0.000], [0.000, 0.500, 0.250], [0.500, 0.000, 0.750], [0.500, 0.500, 0.500], [0.000, 0.000, 0.500], [0.000, 0.500, 0.750], [0.500, 0.000, 0.250], [0.500, 0.500, 0.000], [0.231, 0.250, 0.625], [0.250, 0.731, 0.875], [0.250, 0.769, 0.375], [0.269, 0.250, 0.125], [0.731, 0.750, 0.125], [0.750, 0.231, 0.375], [0.750, 0.269, 0.875], [0.769, 0.750, 0.625]],
  "density_g_cm3": 11.48,
  "spacegroup": "I-42d (122)",
  "energy_ev_per_atom": -5.053,
  "n_ef_per_ev_fu": 2.97
}

No. 4
{
  "formula": "Yb5Ge10Rh4",
  "functional": "PBE",
  "state": "optimized geometry",
  "cell": [[13.030, 0.000, 0.000], [0.000, 13.030, 0.000], [0.000, 0.000, 4.369]],
  "species": ["Yb", "Yb", "Yb", "Yb", "Yb", "Yb", "Yb", "Yb", "Yb", "Yb", "Ge", "Ge", "Ge", "Ge", "Ge", "Ge", "Ge", "Ge", "Ge", "Ge", "Ge", "Ge", "Ge", "Ge", "Ge", "Ge", "Ge", "Ge", "Ge", "Ge", "Rh", "Rh", "Rh", "Rh", "Rh", "Rh", "Rh", "Rh"],
  "fractional_positions": [[0.000, 0.000, 0.000], [0.114, 0.386, 0.500], [0.175, 0.675, 0.500], [0.325, 0.175, 0.500], [0.386, 0.886, 0.500], [0.500, 0.500, 0.000], [0.614, 0.114, 0.500], [0.675, 0.825, 0.500], [0.825, 0.325, 0.500], [0.886, 0.614, 0.500], [0.003, 0.842, 0.500], [0.067, 0.567, 0.000], [0.158, 0.003, 0.500], [0.162, 0.199, 0.000], [0.199, 0.838, 0.000], [0.301, 0.338, 0.000], [0.338, 0.699, 0.000], [0.342, 0.503, 0.500], [0.433, 0.067, 0.000], [0.497, 0.342, 0.500], [0.503, 0.658, 0.500], [0.567, 0.933, 0.000], [0.658, 0.497, 0.500], [0.662, 0.301, 0.000], [0.699, 0.662, 0.000], [0.801, 0.162, 0.000], [0.838, 0.801, 0.000], [0.842, 0.997, 0.500], [0.933, 0.433, 0.000], [0.997, 0.158, 0.500], [0.021, 0.754, 0.000], [0.246, 0.021, 0.000], [0.254, 0.521, 0.000], [0.479, 0.254, 0.000], [0.521, 0.746, 0.000], [0.746, 0.479, 0.000], [0.754, 0.979, 0.000], [0.979, 0.246, 0.000]],
  "density_g_cm3": 8.97,
  "spacegroup": "P4/mbm (127)",
  "energy_ev_per_atom": -5.079,
  "n_ef_per_ev_fu": 60.01
}

No. 5
{
  "formula": "LaYSe2Br",
  "functional": "PBE",
  "state": "optimized geometry",
  "cell": [[5.450, 0.000, 0.000], [0.000, 5.450, 0.000], [0.000, 0.000, 5.334]],
  "species": ["La", "Y", "Se", "Se", "Br"],
  "fractional_positions": [[0.000, 0.000, 0.000], [0.500, 0.500, 0.500], [0.000, 0.500, 0.500], [0.500, 0.000, 0.500], [0.500, 0.500, 0.000]],
  "density_g_cm3": 4.88,
  "e_form_raw_ev_per_atom": -1.330,
  "relative_energy_mev_per_atom": 0,
  "spacegroup": "P4/mmm (123)",
  "energy_ev_per_atom": -5.336,
  "n_ef_per_ev_fu": 6.42
}

No. 6
{
  "formula": "ScTaSn2Hg",
  "functional": "PBE",
  "state": "optimized geometry",
  "cell": [[5.297, 0.000, 0.000], [0.000, 5.297, 0.000], [0.000, 0.000, 5.174]],
  "species": ["Sc", "Ta", "Sn", "Sn", "Hg"],
  "fractional_positions": [[0.000, 0.000, 0.000], [0.500, 0.500, 0.500], [0.000, 0.500, 0.000], [0.500, 0.000, 0.000], [0.000, 0.000, 0.500]],
  "density_g_cm3": 7.59,
  "spacegroup": "P4/mmm (123)",
  "energy_ev_per_atom": -4.043,
  "n_ef_per_ev_fu": 7.33
}